CeTl3Br2Cl6 | PBE-GGA | optimized geometry

Geometry as CIF:
```
data_CeTl3Br2Cl6
_chemical_formula_sum 'Ce2 Tl6 Br4 Cl12'
_space_group_name_H-M_alt 'C 1 2/m 1'
_space_group_IT_number 12
_space_group_name_Hall '-C 2y'
_cell_length_a 15.971
_cell_length_b 8.681
_cell_length_c 6.366
_cell_angle_alpha 90.00
_cell_angle_beta 90.40
_cell_angle_gamma 90.00
loop_
_atom_site_label
_atom_site_type_symbol
_atom_site_fract_x
_atom_site_fract_y
_atom_site_fract_z
Ce1 Ce 0.000 0.000 0.000
Tl1 Tl 0.000 0.500 0.500
Tl2 Tl 0.250 0.250 0.000
Br1 Br 0.158 0.500 0.280
Cl1 Cl 0.070 0.217 0.769
Cl2 Cl 0.137 0.000 0.232
```


CeCoBr2 | PBE-GGA | optimized geometry

Geometry as CIF:
```
data_CeCoBr2
_chemical_formula_sum 'Ce3 Co3 Br6'
_space_group_name_H-M_alt 'R -3 m'
_space_group_IT_number 166
_space_group_name_Hall '-R 3 2"'
_cell_length_a 3.7180
_cell_length_b 3.7180
_cell_length_c 26.4676
_cell_angle_alpha 90.00
_cell_angle_beta 90.00
_cell_angle_gamma 120.00
loop_
_atom_site_label
_atom_site_type_symbol
_atom_site_fract_x
_atom_site_fract_y
_atom_site_fract_z
Ce1 Ce 0.0000 0.0000 0.0000
Co1 Co 0.0000 0.0000 0.5000
Br1 Br 0.0000 0.0000 0.1122
```


Ce2CoBr2 | PBE-GGA | optimized geometry

Geometry as CIF:
```
data_Ce2CoBr2
_chemical_formula_sum 'Ce4 Co2 Br4'
_space_group_name_H-M_alt 'C 1 2/m 1'
_space_group_IT_number 12
_space_group_name_Hall '-C 2y'
_cell_length_a 7.034
_cell_length_b 3.905
_cell_length_c 10.748
_cell_angle_alpha 90.00
_cell_angle_beta 101.06
_cell_angle_gamma 90.00
loop_
_atom_site_label
_atom_site_type_symbol
_atom_site_fract_x
_atom_site_fract_y
_atom_site_fract_z
Ce1 Ce 0.092 0.000 0.358
Co1 Co 0.000 0.500 0.500
Br1 Br 0.202 0.500 0.168
```


In the order shown, the computed size of the total moment values come out to 0.09, 11.49, 2.01 μB/cell.
In the order shown, the computed ΔE_f (raw) values come out to -1.281, -0.192, -1.013 eV/atom.